(1)
Compound: TcIrC2
Source: the Alexandria database
Functional: GGA-PBE
Structure: relaxed

```
TcIrC2
1.0
0.0000 2.7021 2.7021
2.7021 0.0000 2.7021
2.7021 2.7021 0.0000
Tc C Ir
1 2 1
direct
0.0000 0.0000 0.0000
0.7500 0.7500 0.7500
0.2500 0.2500 0.2500
0.5000 0.5000 0.5000
```

As for the distance to the lowest polymorph of the same formula: 0.7206 eV/atom. The crystal system is cubic. Its space group is Fm-3m. The total energy comes out at -8.173 eV/atom. The formation enthalpy at 0 K is 1.2460 eV per atom.

=====

(2)
Compound: SrCdHgO3
Source: the Alexandria database
Functional: GGA-PBE
Structure: relaxed

```
SrCdHgO3
1.0
3.4560 0.0000 0.0000
0.0000 6.0051 0.5440
0.0000 -2.5011 8.6995
O Sr Cd Hg
6 2 2 2
direct
0.7500 0.0240 0.1558
0.7500 0.5243 0.1526
0.2500 0.7251 0.4972
0.2500 0.4757 0.8474
0.2500 0.9760 0.8442
0.7500 0.2749 0.5028
0.2500 0.3363 0.2976
0.7500 0.6637 0.7024
0.7500 0.2421 0.9453
0.2500 0.7579 0.0547
0.7500 0.8515 0.3600
0.2500 0.1485 0.6400
```

The crystal system is monoclinic. Its space group is P2_1/m. The total energy comes out at -4.260 eV/atom. Its uncorrected formation energy is -1298 meV per atom.

=====

(3)
Compound: K2NaNb
Source: the Alexandria database
Functional: GGA-PBE
Structure: relaxed

```
K2NaNb
1.0
9.8472 0.0000 0.0000
0.0000 9.8472 0.0000
4.9236 4.9236 3.5721
Na K Nb
2 4 2
direct
0.5000 0.5000 0.0000
0.2500 0.7500 0.5000
0.6238 0.1250 0.2500
0.3750 0.3762 0.7500
0.1262 0.6250 0.2500
0.8750 0.8738 0.7500
0.7500 0.2500 0.5000
0.0000 0.0000 0.0000
```

As for the distance to the lowest polymorph of the same formula: 0.0883 eV/atom. The crystal system is tetragonal. Its space group is I-42d. The total energy comes out at -2.185 eV/atom. The formation enthalpy at 0 K is 1.2111 eV per atom.

=====

(4)
Compound: TiVTeN2
Source: the Alexandria database
Functional: GGA-PBE
Structure: relaxed

```
TiVTeN2
1.0
-3.4334 -1.6284 0.8927
-0.0573 -1.7826 -3.4721
2.6873 -4.4406 2.2355
V Te N Ti
1 1 2 1
direct
0.5000 0.5000 0.5000
0.0000 0.0000 0.5000
0.0000 0.5000 0.0000
0.5000 0.0000 0.0000
0.0000 0.0000 0.0000
```

As for the distance to the lowest polymorph of the same formula: 0.2495 eV/atom. The crystal system is tetragonal. Its space group is P4/mmm. The total energy comes out at -6.760 eV/atom. Its uncorrected formation energy is 602 meV per atom.

=====

(5)
Compound: CsZnNiOs2
Source: the Alexandria database
Functional: GGA-PBE
Structure: relaxed

```
CsZnNiOs2
1.0
4.6661 0.0000 0.0000
0.0000 4.6661 0.0000
0.0000 0.0000 4.8443
Os Cs Ni Zn
2 1 1 1
direct
0.0000 0.5000 0.0000
0.5000 0.0000 0.0000
0.5000 0.5000 0.5000
0.0000 0.0000 0.0000
0.0000 0.0000 0.5000
```

The crystal system is tetragonal. Its space group is P4/mmm. The total energy comes out at -4.389 eV/atom. The formation enthalpy at 0 K is 1.6843 eV per atom.

=====

(6)
Compound: SrZnW
Source: the Alexandria database
Functional: GGA-PBE
Structure: relaxed

```
SrZnW
1.0
4.8333 0.0000 0.0000
2.4166 4.1858 0.0000
2.4166 1.3953 3.9464
Sr W Zn
1 1 1
direct
0.0000 0.0000 0.0000
0.5000 0.5000 0.5000
0.7500 0.7500 0.7500
```

As for the distance to the lowest polymorph of the same formula: 0.5208 eV/atom. The crystal system is cubic. Its space group is F-43m. The total energy comes out at -3.956 eV/atom. The formation enthalpy at 0 K is 1.3473 eV per atom.

=====

(7)
Compound: ThCd2In
Source: the Alexandria database
Functional: GGA-PBE
Structure: relaxed

```
ThCd2In
1.0
-2.4752 -3.5025 -3.0263
1.1747 -5.1010 0.3907
-3.4520 -3.3327 2.1282
In Th Cd
1 1 2
direct
0.5000 0.5000 0.5000
0.0000 0.0000 0.0000
0.2500 0.2500 0.2500
0.7500 0.7500 0.7500
```

As for the distance to the lowest polymorph of the same formula: 0.1440 eV/atom. The crystal system is cubic. Its space group is Fm-3m. The total energy comes out at -3.052 eV/atom. The formation enthalpy at 0 K is -0.0553 eV per atom.

=====

(8)
Compound: CrInPH2
Source: the Alexandria database
Functional: GGA-PBE
Structure: relaxed

```
CrInPH2
1.0
3.7349 0.0000 0.0000
0.0000 4.8875 0.0000
0.0000 0.0000 3.7349
H P Cr In
2 1 1 1
direct
0.0000 0.0000 0.5000
0.5000 0.0000 0.0000
0.0000 0.5000 0.0000
0.0000 0.0000 0.0000
0.5000 0.5000 0.5000
```

The crystal system is tetragonal. Its space group is P4/mmm. The total energy comes out at -4.726 eV/atom.

=====

(9)
Compound: CrCdPt
Source: the Alexandria database
Functional: GGA-PBE
Structure: relaxed

```
CrCdPt
1.0
6.2006 -0.1053 0.1116
5.5497 2.7680 0.1052
0.6510 0.1538 2.8691
Cr Pt Cd
1 1 1
direct
0.3195 0.3195 0.6805
0.6799 0.6799 0.3201
0.0006 0.0007 0.9994
```

As for the distance to the lowest polymorph of the same formula: 0.0000 eV/atom. The crystal system is tetragonal. Its space group is I4mm. The total energy comes out at -5.507 eV/atom. The formation enthalpy at 0 K is 0.0189 eV per atom.

=====

(10)
Compound: Mg2ScCd5
Source: the Alexandria database
Functional: GGA-PBE
Structure: relaxed

```
Mg2ScCd5
1.0
4.1667 0.0000 -1.5624
-0.5859 4.1253 -1.5624
1.0739 1.2372 9.2010
Cd Mg Sc
5 2 1
direct
0.6266 0.1266 0.2531
0.5000 0.5000 0.0000
0.8734 0.3734 0.7469
0.3734 0.8734 0.7469
0.1266 0.6266 0.2531
0.7538 0.7538 0.5076
0.2462 0.2462 0.4924
0.0000 0.0000 0.0000
```

As for the distance to the lowest polymorph of the same formula: 0.0000 eV/atom. The crystal system is tetragonal. Its space group is I4/mmm. The total energy comes out at -1.913 eV/atom. The formation enthalpy at 0 K is -0.1505 eV per atom.

=====

(11)
Compound: TbNiAu
Source: the Alexandria database
Functional: GGA-PBE
Structure: relaxed

```
TbNiAu
1.0
4.4607 0.0000 0.0000
2.2304 3.8631 0.0000
2.2304 1.2877 3.6421
Tb Au Ni
1 1 1
direct
0.5000 0.5000 0.5000
0.0000 0.0000 0.0000
0.2500 0.2500 0.2500
```

The crystal system is cubic. Its space group is F-43m. The total energy comes out at -5.029 eV/atom. The formation enthalpy at 0 K is -0.4662 eV per atom.

=====

(12)
Compound: Er2TmPu
Source: the Alexandria database
Functional: GGA-PBE
Structure: relaxed

```
Er2TmPu
1.0
3.5004 0.0000 0.0000
1.7502 3.0314 0.0000
1.7502 1.0105 11.2149
Er Tm Pu
2 1 1
direct
0.2504 0.2504 0.2487
0.0829 0.0829 0.7512
0.5005 0.5005 0.4986
0.6662 0.6662 0.0015
```

As for the distance to the lowest polymorph of the same formula: 0.0024 eV/atom. The crystal system is trigonal. Its space group is R3m. The total energy comes out at -6.898 eV/atom. The formation enthalpy at 0 K is 0.0838 eV per atom.

=====

(13)
Compound: SrLiHo2In4
Source: the Alexandria database
Functional: GGA-PBE
Structure: relaxed

```
SrLiHo2In4
1.0
5.2915 0.0000 0.0000
2.6458 4.5826 0.0000
2.6458 1.5275 8.9293
In Ho Sr Li
4 2 1 1
direct
0.3839 0.3839 0.8483
0.1279 0.1279 0.6162
0.8721 0.8721 0.3838
0.6161 0.6161 0.1517
0.2452 0.2452 0.2643
0.7548 0.7548 0.7357
0.0000 0.0000 0.0000
0.5000 0.5000 0.5000
```

The crystal system is trigonal. Its space group is R-3m. The total energy comes out at -3.306 eV/atom. The formation enthalpy at 0 K is -0.3432 eV per atom.

=====

(14)
Compound: CeGdCuSn
Source: the Alexandria database
Functional: GGA-PBE
Structure: relaxed

```
CeGdCuSn
1.0
5.2432 0.0000 0.0000
2.6216 4.5407 0.0000
2.6216 1.5136 4.2810
Sn Cu Gd Ce
1 1 1 1
direct
0.0000 0.0000 0.0000
0.5000 0.5000 0.5000
0.7500 0.7500 0.7500
0.2500 0.2500 0.2500
```

The crystal system is cubic. Its space group is F-43m. The total energy comes out at -7.386 eV/atom. The formation enthalpy at 0 K is -0.3578 eV per atom.

=====

(15)
Compound: SmErIn
Source: the Alexandria database
Functional: GGA-PBE
Structure: relaxed

```
SmErIn
1.0
-1.1061 -0.4598 4.5228
3.7964 -2.6541 0.6587
4.4551 6.8092 1.7789
Er Sm In
2 2 2
direct
0.2500 0.2500 0.0000
0.7500 0.7500 0.0000
0.7503 0.2497 0.3511
0.2497 0.7503 0.6489
0.2502 0.7498 0.2637
0.7498 0.2502 0.7363
```

As for the distance to the lowest polymorph of the same formula: 0.0146 eV/atom. The crystal system is tetragonal. Its space group is P4/nmm. The total energy comes out at -4.295 eV/atom. The formation enthalpy at 0 K is -0.2878 eV per atom.

=====

(16)
Compound: Nd4SiTe2Br
Source: the Alexandria database
Functional: GGA-PBE
Structure: relaxed

```
Nd4SiTe2Br
1.0
-2.2148 -3.2899 -1.7964
5.3259 -0.5824 -5.4999
5.4021 -4.8982 2.3098
Br Si Nd Te
1 1 4 2
direct
0.5000 0.5000 0.0000
0.0000 0.5000 0.5000
0.0000 0.2671 0.2688
0.5000 0.7219 0.2770
0.5000 0.2781 0.7230
0.0000 0.7329 0.7312
0.0000 0.0000 0.0000
0.5000 0.0000 0.5000
```

The crystal system is monoclinic. Its space group is P2/m. The total energy comes out at -5.306 eV/atom. Its uncorrected formation energy is -1250 meV per atom.

=====

(17)
Compound: Tm5HfIr6
Source: the Alexandria database
Functional: GGA-PBE
Structure: relaxed

```
Tm5HfIr6
1.0
4.4227 -0.0262 1.4739
0.0372 6.9885 0.0124
-0.0015 -0.0131 7.3771
Tm Ir Hf
5 6 1
direct
0.3336 0.5000 0.3328
0.6679 0.0000 0.6641
0.6664 0.5000 0.6672
0.3321 0.0000 0.3359
0.0000 0.5000 0.0000
0.8381 0.7552 0.3238
0.8381 0.2448 0.3238
0.5000 0.7640 0.0000
0.5000 0.2360 0.0000
0.1619 0.7552 0.6762
0.1619 0.2448 0.6762
0.0000 0.0000 0.0000
```

The crystal system is orthorhombic. Its space group is Cmmm. The total energy comes out at -8.060 eV/atom. The formation enthalpy at 0 K is -0.9372 eV per atom.

=====

(18)
Compound: Pa11Cr4Ga9
Source: the Alexandria database
Functional: GGA-PBE
Structure: relaxed

```
Pa11Cr4Ga9
1.0
4.0707 0.0000 0.0000
0.0000 10.4910 -4.4259
0.0000 0.0530 11.3863
Ga Cr Pa
9 4 11
direct
0.5000 0.2152 0.0676
0.5000 0.5000 0.5000
0.5000 0.0676 0.2152
0.5000 0.3703 0.8485
0.5000 0.8485 0.3703
0.5000 0.9324 0.7848
0.5000 0.1515 0.6297
0.5000 0.7848 0.9324
0.5000 0.6297 0.1515
0.5000 0.4524 0.2559
0.5000 0.7441 0.5476
0.5000 0.5476 0.7441
0.5000 0.2559 0.4524
0.0000 0.4152 0.0774
0.0000 0.6300 0.3700
0.0000 0.1636 0.8364
0.0000 0.3700 0.6300
0.0000 0.6941 0.6941
0.0000 0.0000 0.0000
0.0000 0.8364 0.1636
0.0000 0.9226 0.5848
0.0000 0.3059 0.3059
0.0000 0.0774 0.4152
0.0000 0.5848 0.9226
```

The crystal system is orthorhombic. Its space group is Cmmm. The total energy comes out at -7.263 eV/atom. The formation enthalpy at 0 K is -0.1712 eV per atom.

=====

(19)
Compound: Li2BeAl
Source: the Alexandria database
Functional: GGA-PBE
Structure: relaxed

```
Li2BeAl
1.0
4.2098 0.0000 0.0000
2.1049 3.6458 0.0000
2.1049 1.2153 3.4373
Li Al Be
2 1 1
direct
0.7500 0.7500 0.7500
0.0000 0.0000 0.0000
0.5000 0.5000 0.5000
0.2500 0.2500 0.2500
```

As for the distance to the lowest polymorph of the same formula: 0.0000 eV/atom. The crystal system is cubic. Its space group is F-43m. The total energy comes out at -2.857 eV/atom. The formation enthalpy at 0 K is -0.0327 eV per atom.

=====

(20)
Compound: KSr
Source: the Alexandria database
Functional: GGA-PBE
Structure: relaxed

```
KSr
1.0
4.2888 0.0000 0.0000
-2.1444 3.7142 0.0000
0.0000 0.0000 15.9828
K Sr
2 2
direct
0.3333 0.6667 0.4096
0.6667 0.3333 0.9096
0.6667 0.3333 0.1724
0.3333 0.6667 0.6724
```

The crystal system is hexagonal. Its space group is P6_3mc. The total energy comes out at -1.244 eV/atom. The formation enthalpy at 0 K is 0.1460 eV per atom.

=====

no.,total moment (μB/cell)
1,0.00
2,0.00
3,9.72
4,0.37
5,0.00
6,3.41
7,0.00
8,3.26
9,3.32
10,0.00
11,0.00
12,5.78
13,0.00
14,8.90
15,1.99
16,0.00
17,0.00
18,0.00
19,0.00
20,0.00